DFT (PBE) results for a relaxed Ca4Ac15Tm crystal.

a = 5.560 Å, b = 5.560 Å, c = 28.007 Å
α = 90.00°, β = 90.00°, γ = 90.00°
Space group P4/mmm (No. 123)
Asymmetric unit:
Ca 0.000 0.000 0.101 (multiplicity 2)
Ca 0.000 0.000 0.302 (multiplicity 2)
Ac 0.000 0.500 0.000 (multiplicity 2)
Ac 0.000 0.500 0.202 (multiplicity 4)
Ac 0.000 0.500 0.404 (multiplicity 4)
Ac 0.500 0.500 0.101 (multiplicity 2)
Ac 0.500 0.500 0.302 (multiplicity 2)
Ac 0.500 0.500 0.500 (multiplicity 1)
Tm 0.000 0.000 0.500 (multiplicity 1)



DFT (PBE) results for a relaxed Al2Fe6B crystal.

a = 6.4178 Å, b = 6.4178 Å, c = 2.8740 Å
α = 90.00°, β = 90.00°, γ = 120.00°
Space group P-62m (No. 189)
Asymmetric unit:
Al 0.3333 0.6667 0.0000 (multiplicity 2)
Fe 0.0000 0.3682 0.5000 (multiplicity 3)
Fe 0.0000 0.7625 0.0000 (multiplicity 3)
B 0.0000 0.0000 0.5000 (multiplicity 1)

Results
ΔE to the lowest computed polymorph, eV/atom: 0.0000



| no. | size of the total moment (μB/cell) | total energy (eV per atom) |
| --- | --- | --- |
| 1 | 0.000 | -3.679 |
| 2 | 12.727 | -7.429 |